The following is a DFT calculation (PBE) of CaV3W after structural relaxation.

Values from the calculation:
VASP energy: -7.411 eV/atom
Distance to the lowest polymorph of the same formula: 0 meV per atom

a = 4.713 Å, b = 4.713 Å, c = 4.713 Å
α = 90.00°, β = 90.00°, γ = 90.00°
Atoms (fractional coordinates):
W 0.000 0.000 0.000
Ca 0.500 0.500 0.500
V 0.500 0.000 0.000
V 0.000 0.500 0.000
V 0.000 0.000 0.500